DFT (PBE) results for La4Ag after structural relaxation.

Calculated values
- spin magnetization (μB per formula unit) = 0.0
- raw total energy (eV per atom) = -4.2933
- ΔH_f (0 K) (meV/atom) = 218.9
- E above lowest polymorph (eV/f.u.) = 1.58

Cell: 5.881 5.881 5.881 Å, 90.00 90.00 90.00°
Space group Pm-3m (No. 221)
Inequivalent atoms, fractional coordinates:
La 0.000 0.000 0.000
La 0.000 0.500 0.500
Ag 0.500 0.500 0.500